Record 1
# BeCoOs2 | the Alexandria database | meta-GGA SCAN | PBEsol geometry
data_BeCoOs2
_chemical_formula_sum 'Be2 Co2 Os4'
_cell_length_a 2.767
_cell_length_b 4.058
_cell_length_c 8.067
_cell_angle_alpha 90.00
_cell_angle_beta 90.00
_cell_angle_gamma 90.00
_symmetry_space_group_name_H-M 'I m m 2'
_symmetry_Int_Tables_number 44
loop_
_symmetry_equiv_pos_as_xyz
'x,y,z'
'-x,-y,z'
'-x,y,z'
'x,-y,z'
'x+1/2,y+1/2,z+1/2'
'-x+1/2,-y+1/2,z+1/2'
'-x+1/2,y+1/2,z+1/2'
'x+1/2,-y+1/2,z+1/2'
loop_
_atom_site_label
_atom_site_type_symbol
_atom_site_fract_x
_atom_site_fract_y
_atom_site_fract_z
_atom_site_occupancy
Be1 Be 0.000 0.000 0.000 1
Co1 Co 0.000 0.500 0.709 1
Os1 Os 0.000 0.000 0.485 1
Os2 Os 0.000 0.500 0.260 1
# Crystal system: orthorhombic

Record 2
# BeCo2P | the Alexandria database | meta-GGA SCAN | PBEsol geometry
data_BeCo2P
_chemical_formula_sum 'Be2 Co4 P2'
_cell_length_a 7.130
_cell_length_b 2.561
_cell_length_c 4.276
_cell_angle_alpha 90.00
_cell_angle_beta 100.44
_cell_angle_gamma 90.00
_symmetry_space_group_name_H-M 'C 1 2/m 1'
_symmetry_Int_Tables_number 12
loop_
_symmetry_equiv_pos_as_xyz
'x,y,z'
'-x,-y,-z'
'-x,y,-z'
'x,-y,z'
'x+1/2,y+1/2,z'
'-x+1/2,-y+1/2,-z'
'-x+1/2,y+1/2,-z'
'x+1/2,-y+1/2,z'
loop_
_atom_site_label
_atom_site_type_symbol
_atom_site_fract_x
_atom_site_fract_y
_atom_site_fract_z
_atom_site_occupancy
Be1 Be 0.000 0.000 0.000 1
Co1 Co 0.245 0.000 0.747 1
P1 P 0.000 0.500 0.500 1
# Relative energy among the computed polymorphs (meV/atom): 215.8
# Crystal system: monoclinic

Record 3
# BeCo2P | the Alexandria database | meta-GGA SCAN | PBEsol geometry
data_BeCo2P
_chemical_formula_sum 'Be2 Co4 P2'
_cell_length_a 3.548
_cell_length_b 3.552
_cell_length_c 5.773
_cell_angle_alpha 90.00
_cell_angle_beta 90.00
_cell_angle_gamma 90.00
_symmetry_space_group_name_H-M 'I m m m'
_symmetry_Int_Tables_number 71
_symmetry_space_group_name_Hall '-I 2 2'
loop_
_atom_site_label
_atom_site_type_symbol
_atom_site_fract_x
_atom_site_fract_y
_atom_site_fract_z
_atom_site_occupancy
Be1 Be 0.000 0.000 0.000 1
Co1 Co 0.000 0.500 0.248 1
P1 P 0.000 0.000 0.500 1
# Relative energy among the computed polymorphs (meV/atom): 0.0
# Crystal system: orthorhombic

How do the records compare in energy of formation? In the order shown, they have -0.05 -0.16 -0.37 eV per atom.
How do the records compare in spin magnetization? In the order shown, they have 1.6 2.2 0.0 μB/cell.